--- a ---
The following is a DFT calculation (GGA-PBE) of Al3CoNi after structural relaxation.

Values from the calculation:
- Volume: 83.9 Å³/cell
- Density: 3.93 Mg/m³
- Magnetization: 1.4 μB/f.u.
- Crystal system: cubic

```
data_Al3CoNi
_cell_length_a 4.3782
_cell_length_b 4.3782
_cell_length_c 4.3782
_cell_angle_alpha 90.00
_cell_angle_beta 90.00
_cell_angle_gamma 90.00
_space_group_name_H-M_alt 'P 1'
_space_group_IT_number 1
_space_group_name_Hall 'P 1'
loop_
_atom_site_label
_atom_site_type_symbol
_atom_site_fract_x
_atom_site_fract_y
_atom_site_fract_z
_atom_site_occupancy
Co1 Co 0.5000 0.5000 0.5000 1
Al1 Al 0.0000 0.5000 0.0000 1
Ni1 Ni 0.0000 0.0000 0.0000 1
Al2 Al 0.5000 0.0000 0.0000 1
Al3 Al 0.0000 0.0000 0.5000 1
```

=====

--- b ---
The following is a DFT calculation (GGA-PBE) of Al3CoNi after structural relaxation.

Values from the calculation:
- Volume: 83.1 Å³/cell
- Density: 3.97 Mg/m³
- Magnetization: 0.0 μB/f.u.
- Crystal system: cubic

```
data_Al3CoNi
_cell_length_a 4.3639
_cell_length_b 4.3639
_cell_length_c 4.3639
_cell_angle_alpha 90.00
_cell_angle_beta 90.00
_cell_angle_gamma 90.00
_space_group_name_H-M_alt 'P 1'
_space_group_IT_number 1
_space_group_name_Hall 'P 1'
loop_
_atom_site_label
_atom_site_type_symbol
_atom_site_fract_x
_atom_site_fract_y
_atom_site_fract_z
_atom_site_occupancy
Al1 Al 0.0000 0.5000 0.0000 1
Ni1 Ni 0.5000 0.5000 0.5000 1
Co1 Co 0.0000 0.0000 0.0000 1
Al2 Al 0.5000 0.0000 0.0000 1
Al3 Al 0.0000 0.0000 0.5000 1
```

=====

From most stable to least stable, the computed energies give b, a.

=====

--- a ---
The following is a DFT calculation (GGA-PBE) of AlCoNi4 after structural relaxation.

Values from the calculation:
- Volume: 135.3 Å³/cell
- Density: 7.87 Mg/m³
- Magnetization: 2.3 μB/f.u.
- Crystal system: orthorhombic

```
data_AlCoNi4
_cell_length_a 7.9710
_cell_length_b 4.1196
_cell_length_c 4.1205
_cell_angle_alpha 90.00
_cell_angle_beta 90.00
_cell_angle_gamma 90.00
_space_group_name_H-M_alt 'P 1'
_space_group_IT_number 1
_space_group_name_Hall 'P 1'
loop_
_atom_site_label
_atom_site_type_symbol
_atom_site_fract_x
_atom_site_fract_y
_atom_site_fract_z
_atom_site_occupancy
Ni1 Ni 0.8379 0.9996 0.4999 1
Ni2 Ni 0.3379 0.5004 0.4999 1
Al1 Al 0.5000 0.0000 0.5000 1
Ni3 Ni 0.3323 0.9995 0.0001 1
Ni4 Ni 0.6621 0.4996 0.5001 1
Al2 Al 0.0000 0.5000 0.5000 1
Ni5 Ni 0.6677 0.0005 0.9999 1
Co1 Co 0.5000 0.5000 0.0000 1
Ni6 Ni 0.8323 0.5005 0.0001 1
Ni7 Ni 0.1677 0.4995 0.9999 1
Co2 Co 0.0000 0.0000 0.0000 1
Ni8 Ni 0.1621 0.0004 0.5001 1
```

=====

--- b ---
The following is a DFT calculation (GGA-PBE) of AlCoNi4 after structural relaxation.

Values from the calculation:
- Volume: 70.9 Å³/cell
- Density: 7.52 Mg/m³
- Magnetization: 3.3 μB/f.u.
- Crystal system: cubic

```
data_AlCoNi4
_cell_length_a 4.6448
_cell_length_b 4.6448
_cell_length_c 4.6448
_cell_angle_alpha 60.00
_cell_angle_beta 60.00
_cell_angle_gamma 60.00
_space_group_name_H-M_alt 'P 1'
_space_group_IT_number 1
_space_group_name_Hall 'P 1'
loop_
_atom_site_label
_atom_site_type_symbol
_atom_site_fract_x
_atom_site_fract_y
_atom_site_fract_z
_atom_site_occupancy
Co1 Co 0.0000 0.0000 0.0000 1
Al1 Al 0.7500 0.7500 0.7500 1
Ni1 Ni 0.3749 0.3749 0.8753 1
Ni2 Ni 0.8753 0.3749 0.3749 1
Ni3 Ni 0.3749 0.8753 0.3749 1
Ni4 Ni 0.3749 0.3749 0.3749 1
```

=====

From most stable to least stable, the computed energies give a, b.